Record 1
# Cu2AgRu, relaxed, DFT GGA-PBE
# Crystal system: monoclinic
# Offset from the most stable computed form: 89 meV per atom
# Total moment: 0.0 Bohr magnetons per cell
# ΔE_f: 331 meV per atom
# Energy: -4.75 eV/atom
# DOS at the Fermi energy: 0.565 states/eV per atom
data_Cu2AgRu
_cell_length_a 8.8401
_cell_length_b 2.5992
_cell_length_c 4.9890
_cell_angle_alpha 90.00
_cell_angle_beta 98.25
_cell_angle_gamma 90.00
_space_group_name_H-M_alt 'C 1 2/m 1'
_space_group_IT_number 12
_space_group_name_Hall '-C 2y'
loop_
_atom_site_label
_atom_site_type_symbol
_atom_site_fract_x
_atom_site_fract_y
_atom_site_fract_z
_atom_site_occupancy
Cu1 Cu 0.2459 0.0000 0.2299 1
Ag1 Ag 0.0000 0.0000 0.5000 1
Ru1 Ru 0.0000 0.5000 0.0000 1

***

Record 2
# CuAg2Ru, relaxed, DFT GGA-PBE
# Crystal system: tetragonal
# Offset from the most stable computed form: 235 meV per atom
# Total moment: 2.5 Bohr magnetons per cell
# ΔE_f: 528 meV per atom
# Energy: -4.24 eV/atom
# DOS at the Fermi energy: 1.089 states/eV per atom
data_CuAg2Ru
_cell_length_a 3.9579
_cell_length_b 3.9579
_cell_length_c 7.9839
_cell_angle_alpha 90.00
_cell_angle_beta 90.00
_cell_angle_gamma 90.00
_space_group_name_H-M_alt 'I 4/m m m'
_space_group_IT_number 139
_space_group_name_Hall '-I 4 2'
loop_
_atom_site_label
_atom_site_type_symbol
_atom_site_fract_x
_atom_site_fract_y
_atom_site_fract_z
_atom_site_occupancy
Cu1 Cu 0.0000 0.0000 0.0000 1
Ag1 Ag 0.0000 0.5000 0.2500 1
Ru1 Ru 0.0000 0.0000 0.5000 1